# CsLa2Al | Alexandria via LeMat-Bulk | PBE-GGA | relaxed
data_CsLa2Al
_chemical_formula_sum 'Cs1 La2 Al1'
_cell_length_a 5.6803
_cell_length_b 5.6803
_cell_length_c 5.6803
_cell_angle_alpha 60.00
_cell_angle_beta 60.00
_cell_angle_gamma 60.00
_space_group_name_H-M_alt 'P 1'
_space_group_IT_number 1
loop_
_space_group_symop_operation_xyz
'x,y,z'
loop_
_atom_site_label
_atom_site_type_symbol
_atom_site_fract_x
_atom_site_fract_y
_atom_site_fract_z
Cs1 Cs 0.0000 0.0000 0.0000
La1 La 0.2500 0.2500 0.2500
La2 La 0.7500 0.7500 0.7500
Al1 Al 0.5000 0.5000 0.5000
# DFT total energy in eV/atom: -3.336
# Total magnetization in μB/f.u.: 0.00
# N(E_F) in states/eV per atom: 1.52
# Energy above the lowest structure with this stoichiometry in kcal/mol of atoms: 0.000
# Formation energy from the elements in eV/atom: 0.2767
# Space-group type: Fm-3m (225)